Here is an optimized crystal structure of SrCoCu2 from Alexandria via LeMat-Bulk. Energies are from PBE.

```
SrCoCu2
1.0
4.179 -0.006 0.021
2.094 3.617 0.021
2.072 1.192 5.225
Co Cu Sr
1 2 1
Direct
0.315 0.315 0.055
0.995 0.995 0.014
0.689 0.689 0.934
0.501 0.501 0.498
```

Results
Uncorrected energy, eV for the cell shown: -16.5
Mass density, g/cm³: 5.8
ΔH_f (0 K), eV per atom: 0.11
Crystal system: monoclinic
Space group: Cm, No. 8


Here is an optimized crystal structure of Sr2CoCu from Alexandria via LeMat-Bulk. Energies are from PBE.

```
Sr2CoCu
1.0
-1.682 4.024 -1.664
-3.460 -0.557 2.151
2.495 3.026 4.797
Sr Co Cu
2 1 1
Direct
0.000 0.000 0.874
0.500 0.500 0.375
0.000 0.000 0.374
0.500 0.500 0.876
```

Results
Uncorrected energy, eV for the cell shown: -12.6
Mass density, g/cm³: 4.2
ΔH_f (0 K), eV per atom: 0.50
Crystal system: orthorhombic
Space group: Pmm2, No. 25


Here is an optimized crystal structure of SrCoCu2 from Alexandria via LeMat-Bulk. Energies are from PBE.

```
SrCoCu2
1.0
4.658 0.000 0.000
0.000 4.658 0.000
2.329 2.329 8.194
Co Cu Sr
2 4 2
Direct
0.250 0.750 0.500
0.500 0.500 0.000
0.376 0.625 0.250
0.375 0.626 0.750
0.875 0.624 0.750
0.374 0.125 0.250
0.750 0.250 0.500
0.000 0.000 0.000
```

Results
Uncorrected energy, eV for the cell shown: -31.1
Mass density, g/cm³: 5.1
ΔH_f (0 K), eV per atom: 0.35
Crystal system: tetragonal
Space group: I4_1/amd, No. 141


Here is an optimized crystal structure of SrCoCu2 from Alexandria via LeMat-Bulk. Energies are from PBE.

```
SrCoCu2
1.0
-0.224 3.076 3.548
-3.106 -0.637 3.470
1.484 -1.241 4.284
Sr Co Cu
1 1 2
Direct
0.500 0.500 0.500
0.000 0.000 0.000
0.250 0.250 0.250
0.750 0.750 0.750
```

Results
Uncorrected energy, eV for the cell shown: -14.8
Mass density, g/cm³: 6.2
ΔH_f (0 K), eV per atom: 0.54
Crystal system: cubic
Space group: Fm-3m, No. 225


What did the third record say?
Here is an optimized crystal structure of SrCoCu2 from Alexandria via LeMat-Bulk. Energies are from PBE.

```
SrCoCu2
1.0
4.658 0.000 0.000
0.000 4.658 0.000
2.329 2.329 8.194
Co Cu Sr
2 4 2
Direct
0.250 0.750 0.500
0.500 0.500 0.000
0.376 0.625 0.250
0.375 0.626 0.750
0.875 0.624 0.750
0.374 0.125 0.250
0.750 0.250 0.500
0.000 0.000 0.000
```

Results
Uncorrected energy, eV for the cell shown: -31.1
Mass density, g/cm³: 5.1
ΔH_f (0 K), eV per atom: 0.35
Crystal system: tetragonal
Space group: I4_1/amd, No. 141


> Which value of mass density does entry 1 give?

5.8 g/cm³


> The lowest mass density belongs to which entry?

Sr2CoCu


> Which value of ΔH_f (0 K) does entry 1 give?

0.11 eV per atom